{
  "formula": "Ta3Al5",
  "functional": "GGA-PBEsol",
  "state": "optimized geometry",
  "dft_energy_ev_per_atom": -7.48,
  "volume_a3_per_fu": 128.3,
  "cell": [[-1.762, 1.306, 3.055], [-5.112, -0.324, -2.810], [-0.524, -5.454, 2.030]],
  "species": ["Al", "Al", "Al", "Al", "Al", "Ta", "Ta", "Ta"],
  "fractional_positions": [[0.000, 0.500, 0.000], [0.000, 0.000, 0.000], [0.000, 0.000, 0.500], [0.500, 0.255, 0.745], [0.500, 0.745, 0.255], [0.500, 0.240, 0.240], [0.000, 0.500, 0.500], [0.500, 0.760, 0.760]]
}

{
  "formula": "SbPb2Cl",
  "functional": "GGA-PBEsol",
  "state": "optimized geometry",
  "dft_energy_ev_per_atom": -3.96,
  "volume_a3_per_fu": 108.2,
  "cell": [[3.556, 0.000, 0.000], [0.000, 3.942, 0.000], [0.000, 0.000, 7.715]],
  "species": ["Pb", "Pb", "Sb", "Cl"],
  "fractional_positions": [[0.000, 0.000, 0.247], [0.000, 0.000, 0.753], [0.500, 0.500, 0.000], [0.500, 0.500, 0.500]]
}

{
  "formula": "K2PdC2",
  "functional": "GGA-PBEsol",
  "state": "optimized geometry",
  "dft_energy_ev_per_atom": -5.44,
  "volume_a3_per_fu": 117.3,
  "cell": [[5.091, 0.000, 0.000], [-2.545, 4.409, 0.000], [0.000, 0.000, 5.227]],
  "species": ["C", "C", "Pd", "K", "K"],
  "fractional_positions": [[0.000, 0.000, 0.622], [0.000, 0.000, 0.378], [0.000, 0.000, 0.000], [0.333, 0.667, 0.721], [0.667, 0.333, 0.279]]
}

{
  "formula": "BiOsSe2",
  "functional": "GGA-PBEsol",
  "state": "optimized geometry",
  "dft_energy_ev_per_atom": -5.44,
  "volume_a3_per_fu": 89.3,
  "cell": [[-2.011, -2.014, 0.892], [0.153, -1.142, 2.751], [-7.420, 7.476, 5.133]],
  "species": ["Se", "Se", "Os", "Bi"],
  "fractional_positions": [[0.932, 0.932, 0.203], [0.068, 0.068, 0.797], [0.000, 0.000, 0.000], [0.500, 0.500, 0.500]]
}